A.
# PBE-GGA HfMgPa, optimized geometry
data_HfMgPa
_chemical_formula_sum 'Hf2 Mg2 Pa2'
_cell_length_a 4.346
_cell_length_b 4.346
_cell_length_c 7.850
_cell_angle_alpha 90.00
_cell_angle_beta 90.00
_cell_angle_gamma 90.00
_space_group_name_H-M_alt 'P 4/n m m'
_space_group_IT_number 129
loop_
_space_group_symop_operation_xyz
'x,y,z'
'-x,-y,-z'
'-y+1/2,x,z'
'y+1/2,-x,-z'
'-x+1/2,-y+1/2,z'
'x+1/2,y+1/2,-z'
'y,-x+1/2,z'
'-y,x+1/2,-z'
'x+1/2,-y,-z'
'-x+1/2,y,z'
'-y,-x,-z'
'y,x,z'
'-x,y+1/2,-z'
'x,-y+1/2,z'
'y+1/2,x+1/2,-z'
'-y+1/2,-x+1/2,z'
loop_
_atom_site_label
_atom_site_fract_x
_atom_site_fract_y
_atom_site_fract_z
Hf1 0.250 0.250 0.194
Mg1 0.250 0.250 0.810
Pa1 0.250 0.750 0.500
# N(E_F)   2.10 states/eV per atom
# M_tot   0.0 Bohr magnetons per cell

B.
# PBE-GGA HfMgPa, optimized geometry
data_HfMgPa
_chemical_formula_sum 'Hf1 Mg1 Pa1'
_cell_length_a 3.1250
_cell_length_b 3.1250
_cell_length_c 8.3581
_cell_angle_alpha 90.00
_cell_angle_beta 90.00
_cell_angle_gamma 120.00
_space_group_name_H-M_alt 'P 3 m 1'
_space_group_IT_number 156
loop_
_space_group_symop_operation_xyz
'x,y,z'
'-y,x-y,z'
'-x+y,-x,z'
'-y,-x,z'
'-x+y,y,z'
'x,x-y,z'
loop_
_atom_site_label
_atom_site_fract_x
_atom_site_fract_y
_atom_site_fract_z
Hf1 0.0000 0.0000 0.0000
Mg1 0.6667 0.3333 0.3221
Pa1 0.3333 0.6667 0.6737
# N(E_F)   1.49 states/eV per atom
# M_tot   0.0 Bohr magnetons per cell

Which is the most stable structure? B is the most stable.

A.
# PBE-GGA HfMgPa, optimized geometry
data_HfMgPa
_chemical_formula_sum 'Hf4 Mg4 Pa4'
_cell_length_a 5.507
_cell_length_b 3.174
_cell_length_c 16.170
_cell_angle_alpha 90.00
_cell_angle_beta 96.38
_cell_angle_gamma 90.00
_space_group_name_H-M_alt 'C 1 2/m 1'
_space_group_IT_number 12
loop_
_space_group_symop_operation_xyz
'x,y,z'
'-x,-y,-z'
'-x,y,-z'
'x,-y,z'
'x+1/2,y+1/2,z'
'-x+1/2,-y+1/2,-z'
'-x+1/2,y+1/2,-z'
'x+1/2,-y+1/2,z'
loop_
_atom_site_label
_atom_site_fract_x
_atom_site_fract_y
_atom_site_fract_z
Hf1 0.247 0.000 0.246
Mg1 0.141 0.000 0.918
Pa1 0.134 0.500 0.412
# N(E_F)   1.48 states/eV per atom
# M_tot   0.0 Bohr magnetons per cell

B.
# PBE-GGA HfMgPa, optimized geometry
data_HfMgPa
_chemical_formula_sum 'Hf2 Mg2 Pa2'
_cell_length_a 3.071
_cell_length_b 3.071
_cell_length_c 15.010
_cell_angle_alpha 90.00
_cell_angle_beta 90.00
_cell_angle_gamma 90.00
_space_group_name_H-M_alt 'I 4 m m'
_space_group_IT_number 107
_space_group_name_Hall 'I 4 -2'
loop_
_atom_site_label
_atom_site_fract_x
_atom_site_fract_y
_atom_site_fract_z
Hf1 0.000 0.000 0.000
Mg1 0.000 0.000 0.662
Pa1 0.000 0.000 0.342
# N(E_F)   1.27 states/eV per atom
# M_tot   0.0 Bohr magnetons per cell

Which is the most stable structure? A is the most stable.

A.
# PBE-GGA Hf2MgPb2, optimized geometry
data_Hf2MgPb2
_chemical_formula_sum 'Hf4 Mg2 Pb4'
_cell_length_a 7.907
_cell_length_b 7.907
_cell_length_c 3.866
_cell_angle_alpha 90.00
_cell_angle_beta 90.00
_cell_angle_gamma 90.00
_space_group_name_H-M_alt 'P 4/m b m'
_space_group_IT_number 127
_space_group_name_Hall '-P 4 2ab'
loop_
_atom_site_label
_atom_site_fract_x
_atom_site_fract_y
_atom_site_fract_z
Hf1 0.146 0.354 0.000
Mg1 0.000 0.000 0.500
Pb1 0.154 0.654 0.500
# N(E_F)   0.35 states/eV per atom
# M_tot   0.0 Bohr magnetons per cell

B.
# PBE-GGA Hf2MgPb2, optimized geometry
data_Hf2MgPb2
_chemical_formula_sum 'Hf4 Mg2 Pb4'
_cell_length_a 8.047
_cell_length_b 8.047
_cell_length_c 3.854
_cell_angle_alpha 90.00
_cell_angle_beta 90.00
_cell_angle_gamma 90.00
_space_group_name_H-M_alt 'P 4/m b m'
_space_group_IT_number 127
_space_group_name_Hall '-P 4 2ab'
loop_
_atom_site_label
_atom_site_fract_x
_atom_site_fract_y
_atom_site_fract_z
Hf1 0.131 0.369 0.000
Mg1 0.000 0.000 0.000
Pb1 0.170 0.670 0.500
# N(E_F)   0.42 states/eV per atom
# M_tot   0.1 Bohr magnetons per cell

Which is the most stable structure? A is the most stable.

A.
# PBE-GGA PrHfMg, optimized geometry
data_PrHfMg
_chemical_formula_sum 'Pr2 Hf2 Mg2'
_cell_length_a 3.3149
_cell_length_b 3.3149
_cell_length_c 16.8704
_cell_angle_alpha 90.00
_cell_angle_beta 90.00
_cell_angle_gamma 120.00
_space_group_name_H-M_alt 'P 3 m 1'
_space_group_IT_number 156
loop_
_space_group_symop_operation_xyz
'x,y,z'
'-y,x-y,z'
'-x+y,-x,z'
'-y,-x,z'
'-x+y,y,z'
'x,x-y,z'
loop_
_atom_site_label
_atom_site_fract_x
_atom_site_fract_y
_atom_site_fract_z
Pr1 0.0000 0.0000 0.0000
Pr2 0.0000 0.0000 0.3657
Hf1 0.3333 0.6667 0.5270
Hf2 0.3333 0.6667 0.8386
Mg1 0.0000 0.0000 0.6826
Mg2 0.3333 0.6667 0.1824
# N(E_F)   0.90 states/eV per atom
# M_tot   0.0 Bohr magnetons per cell

B.
# PBE-GGA PrHfMg, optimized geometry
data_PrHfMg
_chemical_formula_sum 'Pr2 Hf2 Mg2'
_cell_length_a 3.385
_cell_length_b 3.385
_cell_length_c 13.945
_cell_angle_alpha 90.00
_cell_angle_beta 90.00
_cell_angle_gamma 90.00
_space_group_name_H-M_alt 'I 4 m m'
_space_group_IT_number 107
_space_group_name_Hall 'I 4 -2'
loop_
_atom_site_label
_atom_site_fract_x
_atom_site_fract_y
_atom_site_fract_z
Pr1 0.000 0.000 0.000
Hf1 0.000 0.000 0.669
Mg1 0.000 0.000 0.315
# N(E_F)   0.46 states/eV per atom
# M_tot   0.0 Bohr magnetons per cell

Which is the most stable structure? B is the most stable.

A.
# PBE-GGA Pr2HfMg, optimized geometry
data_Pr2HfMg
_chemical_formula_sum 'Pr6 Hf3 Mg3'
_cell_length_a 3.2830
_cell_length_b 3.2830
_cell_length_c 37.0771
_cell_angle_alpha 90.00
_cell_angle_beta 90.00
_cell_angle_gamma 120.00
_space_group_name_H-M_alt 'R -3 m'
_space_group_IT_number 166
_space_group_name_Hall '-R 3 2"'
loop_
_atom_site_label
_atom_site_fract_x
_atom_site_fract_y
_atom_site_fract_z
Pr1 0.0000 0.0000 0.0853
Hf1 0.0000 0.0000 0.0000
Mg1 0.0000 0.0000 0.5000
# N(E_F)   1.18 states/eV per atom
# M_tot   0.0 Bohr magnetons per cell

B.
# PBE-GGA Pr2HfMg, optimized geometry
data_Pr2HfMg
_chemical_formula_sum 'Pr2 Hf1 Mg1'
_cell_length_a 3.475
_cell_length_b 3.475
_cell_length_c 9.662
_cell_angle_alpha 90.00
_cell_angle_beta 90.00
_cell_angle_gamma 90.00
_space_group_name_H-M_alt 'P 4/m m m'
_space_group_IT_number 123
_space_group_name_Hall '-P 4 2'
loop_
_atom_site_label
_atom_site_fract_x
_atom_site_fract_y
_atom_site_fract_z
Pr1 0.000 0.000 0.243
Hf1 0.500 0.500 0.000
Mg1 0.500 0.500 0.500
# N(E_F)   1.20 states/eV per atom
# M_tot   0.0 Bohr magnetons per cell

Which is the most stable structure? B is the most stable.

A.
# PBE-GGA HfMg2Pt2, optimized geometry
data_HfMg2Pt2
_chemical_formula_sum 'Hf2 Mg4 Pt4'
_cell_length_a 6.949
_cell_length_b 6.949
_cell_length_c 3.912
_cell_angle_alpha 90.00
_cell_angle_beta 90.00
_cell_angle_gamma 90.00
_space_group_name_H-M_alt 'P 4/m b m'
_space_group_IT_number 127
_space_group_name_Hall '-P 4 2ab'
loop_
_atom_site_label
_atom_site_fract_x
_atom_site_fract_y
_atom_site_fract_z
Hf1 0.000 0.000 0.000
Mg1 0.161 0.339 0.500
Pt1 0.139 0.639 0.000
# N(E_F)   0.37 states/eV per atom
# M_tot   0.0 Bohr magnetons per cell

B.
# PBE-GGA HfMg2Pt2, optimized geometry
data_HfMg2Pt2
_chemical_formula_sum 'Hf2 Mg4 Pt4'
_cell_length_a 7.742
_cell_length_b 7.742
_cell_length_c 2.869
_cell_angle_alpha 90.00
_cell_angle_beta 90.00
_cell_angle_gamma 90.00
_space_group_name_H-M_alt 'P 4/m b m'
_space_group_IT_number 127
_space_group_name_Hall '-P 4 2ab'
loop_
_atom_site_label
_atom_site_fract_x
_atom_site_fract_y
_atom_site_fract_z
Hf1 0.000 0.000 0.000
Mg1 0.122 0.378 0.000
Pt1 0.177 0.677 0.500
# N(E_F)   0.38 states/eV per atom
# M_tot   0.0 Bohr magnetons per cell

C.
# PBE-GGA HfMg2Pt2, optimized geometry
data_HfMg2Pt2
_chemical_formula_sum 'Hf2 Mg4 Pt4'
_cell_length_a 3.728
_cell_length_b 3.728
_cell_length_c 13.210
_cell_angle_alpha 90.00
_cell_angle_beta 90.00
_cell_angle_gamma 90.00
_space_group_name_H-M_alt 'I 4/m m m'
_space_group_IT_number 139
_space_group_name_Hall '-I 4 2'
loop_
_atom_site_label
_atom_site_fract_x
_atom_site_fract_y
_atom_site_fract_z
Hf1 0.000 0.000 0.000
Mg1 0.000 0.500 0.250
Pt1 0.000 0.000 0.400
# N(E_F)   0.50 states/eV per atom
# M_tot   0.0 Bohr magnetons per cell

Which is the most stable structure? A is the most stable.